[1]
Here is AcNdTlI after structural relaxation from Alexandria. Energies are from PBE-GGA. Values from VASP.

```
&SYSTEM
  ibrav = 0, nat = 4, ntyp = 4
/
ATOMIC_SPECIES
Ac 227.00 Ac.upf
Nd 144.24 Nd.upf
Tl 204.38 Tl.upf
I 126.90 I.upf
ATOMIC_POSITIONS crystal
Ac 0.952 0.952 0.143
Nd 0.436 0.436 0.693
Tl 0.700 0.700 0.901
I 0.189 0.189 0.433
CELL_PARAMETERS angstrom
-4.547 0.557 -1.260
-3.329 -2.884 1.781
-3.650 3.992 5.978
```

Values from the calculation:
Formation energy from raw total energies   -60 kJ per mole of atoms
Spin magnetization   0.0 μB/f.u.
DOS at the Fermi energy   2.554 states/eV/cell
Symmetry   No. 160
ΔE to the lowest computed polymorph   0 meV/atom



[2]
Here is CsAl2Tl after structural relaxation from Alexandria. Energies are from PBE-GGA. Values from VASP.

```
&SYSTEM
  ibrav = 0, nat = 4, ntyp = 3
/
ATOMIC_SPECIES
Cs 132.91 Cs.upf
Tl 204.38 Tl.upf
Al 26.98 Al.upf
ATOMIC_POSITIONS crystal
Cs 0.000 0.000 0.000
Tl 0.500 0.500 0.500
Al 0.250 0.250 0.250
Al 0.750 0.750 0.750
CELL_PARAMETERS angstrom
2.597 -4.775 -1.098
3.405 -2.234 3.764
-1.472 -4.634 2.666
```

Values from the calculation:
Spin magnetization   0.0 μB/f.u.
DOS at the Fermi energy   1.248 states/eV/cell
Symmetry   No. 225
ΔE to the lowest computed polymorph   192 meV/atom
E_form   525 meV/atom



[3]
Here is La3RuAu after structural relaxation from Alexandria. Energies are from PBE-GGA. Values from VASP.

```
&SYSTEM
  ibrav = 0, nat = 10, ntyp = 3
/
ATOMIC_SPECIES
Ru 101.07 Ru.upf
Au 196.97 Au.upf
La 138.91 La.upf
ATOMIC_POSITIONS crystal
Ru 0.148 0.436 0.722
Ru 0.706 0.209 0.110
Au 0.570 0.577 0.294
Au 0.233 0.000 0.506
La 0.987 0.105 0.058
La 0.353 0.722 0.866
La 0.038 0.630 0.320
La 0.350 0.279 0.145
La 0.777 0.437 0.724
La 0.635 0.978 0.494
CELL_PARAMETERS angstrom
-8.683 3.135 0.503
-1.733 -4.804 5.866
1.427 3.660 1.819
```

Values from the calculation:
Spin magnetization   0.0 μB/f.u.
DOS at the Fermi energy   8.073 states/eV/cell
Symmetry   No. 1
ΔE to the lowest computed polymorph   22 meV/atom
E_form   -465 meV/atom



[4]
Here is BPt2Pb after structural relaxation from Alexandria. Energies are from PBE-GGA. Values from VASP.

```
&SYSTEM
  ibrav = 0, nat = 16, ntyp = 3
/
ATOMIC_SPECIES
B 10.81 B.upf
Pt 195.08 Pt.upf
Pb 207.20 Pb.upf
ATOMIC_POSITIONS crystal
B 0.015 0.500 0.884
B 0.515 0.000 0.384
B 0.515 0.500 0.116
B 0.015 0.000 0.616
Pt 0.505 0.500 0.927
Pt 0.005 0.500 0.073
Pt 0.005 0.000 0.427
Pt 0.505 0.000 0.573
Pt 0.365 0.750 0.250
Pt 0.365 0.250 0.250
Pt 0.865 0.750 0.750
Pt 0.865 0.250 0.750
Pb 0.868 0.000 0.123
Pb 0.368 0.000 0.877
Pb 0.368 0.500 0.623
Pb 0.868 0.500 0.377
CELL_PARAMETERS angstrom
-0.276 1.682 -4.032
-5.468 1.290 0.913
3.070 10.163 4.028
```

Values from the calculation:
Spin magnetization   0.0 μB/f.u.
DOS at the Fermi energy   5.225 states/eV/cell
Symmetry   No. 46
ΔE to the lowest computed polymorph   0 meV/atom
E_form   -216 meV/atom



Copy entry 1 word for word.
Here is AcNdTlI after structural relaxation from Alexandria. Energies are from PBE-GGA. Values from VASP.

```
&SYSTEM
  ibrav = 0, nat = 4, ntyp = 4
/
ATOMIC_SPECIES
Ac 227.00 Ac.upf
Nd 144.24 Nd.upf
Tl 204.38 Tl.upf
I 126.90 I.upf
ATOMIC_POSITIONS crystal
Ac 0.952 0.952 0.143
Nd 0.436 0.436 0.693
Tl 0.700 0.700 0.901
I 0.189 0.189 0.433
CELL_PARAMETERS angstrom
-4.547 0.557 -1.260
-3.329 -2.884 1.781
-3.650 3.992 5.978
```

Values from the calculation:
Formation energy from raw total energies   -60 kJ per mole of atoms
Spin magnetization   0.0 μB/f.u.
DOS at the Fermi energy   2.554 states/eV/cell
Symmetry   No. 160
ΔE to the lowest computed polymorph   0 meV/atom



Which formula does entry 2 have?
CsAl2Tl